1.
5
Lattice="5.2329 0.0000 0.0000 0.0000 5.2329 0.0000 0.0000 0.0000 4.6390" Properties=species:S:1:pos:R:3 comment="LiLa2YO PBE relaxed" formation_energy_uncorrected_ev_per_atom=-1.065 pbc="T T T"
O 0.0000 0.0000 0.0000
Y 0.0000 0.0000 2.3195
La 0.0000 2.6164 0.0000
Li 2.6164 2.6164 2.3195
La 2.6164 0.0000 0.0000

=====

2.
5
Lattice="4.7887 0.0000 0.0000 0.0000 4.7887 0.0000 0.0000 0.0000 5.2085" Properties=species:S:1:pos:R:3 comment="LiLaY2O PBE relaxed" formation_energy_uncorrected_ev_per_atom=-1.044 pbc="T T T"
Y 2.3944 0.0000 0.0000
O 0.0000 0.0000 0.0000
Y 0.0000 2.3944 0.0000
La 0.0000 0.0000 2.6043
Li 2.3944 2.3944 2.6043

=====

3.
8
Lattice="5.3700 0.0001 0.0000 2.6851 4.2407 -0.7125 2.6851 -0.2385 4.2935" Properties=species:S:1:pos:R:3 comment="Li2LaZnO4 PBE relaxed" formation_energy_uncorrected_ev_per_atom=-2.017 pbc="T T T"
O 6.8832 2.1807 3.3472
Li 5.3701 3.1207 0.5392
Li 5.3701 0.8815 3.0418
O 3.8570 3.5681 1.7966
Zn 2.6851 2.0011 1.7905
O 6.8831 1.8215 0.2338
O 3.8570 0.4341 1.7844
La 2.6851 4.2407 -0.7125

=====

4.
5
Lattice="-3.8396 -2.3730 2.3503 3.1303 -1.3083 3.7930 -0.9370 3.4659 1.9688" Properties=species:S:1:pos:R:3 comment="LiLa2ZnO PBE relaxed" formation_energy_uncorrected_ev_per_atom=-1.239 pbc="T T T"
Zn -0.8231 -0.1077 4.0560
O 0.0000 0.0000 0.0000
Li -0.4685 1.7330 0.9844
La 1.5652 -0.6542 1.8965
La -1.9198 -1.1865 1.1751

=====

5.
5
Lattice="-0.8318 -0.5756 -4.2810 1.1581 -4.2298 0.3437 -4.5405 -1.1588 1.0381" Properties=species:S:1:pos:R:3 comment="Li2LaZnO PBE relaxed" formation_energy_uncorrected_ev_per_atom=-1.024 pbc="T T T"
Li 0.5790 -2.1149 0.1719
La -2.2703 -0.5794 0.5190
Zn -2.1071 -2.9821 -1.4496
Li -0.4159 -0.2878 -2.1405
O 0.0000 0.0000 0.0000

=====

6.
11
Lattice="5.8179 0.0000 0.0000 2.9090 5.0385 0.0000 2.9090 1.6795 5.2702" Properties=species:S:1:pos:R:3 comment="Li2La2ZrO6 PBE relaxed" formation_energy_uncorrected_ev_per_atom=-2.771 pbc="T T T"
Li 5.8179 3.3590 1.4800
Zr 0.0000 0.0000 0.0000
O 4.2538 2.4559 3.8335
O 7.3821 2.4559 3.8335
La 8.7269 5.0385 3.2416
O 4.2538 4.2620 1.4367
O 5.8179 1.5529 1.4367
La 2.9090 1.6795 2.0286
Li 5.8179 3.3590 3.7902
O 5.8179 5.1651 3.8335
O 7.3821 4.2620 1.4367

=====

7.
4
Lattice="-0.1522 3.1030 -1.0087 -1.9408 -0.8979 -2.4690 -5.4216 1.0012 3.8977" Properties=species:S:1:pos:R:3 comment="LiLaOs2 PBE relaxed" e_above_lowest_polymorph_kj_per_mol_atoms=56.8 formation_energy_ev_per_atom=0.59 pbc="T T T"
Os -5.0221 0.9274 3.6106
Os -3.1102 0.5743 2.2360
Li -5.1127 1.8534 1.1844
La -2.4019 1.3528 -0.7644

=====

8.
8
Lattice="4.0387 0.0000 0.0000 0.0000 4.0387 0.0000 2.0193 2.0193 10.2625" Properties=species:S:1:pos:R:3 comment="Li2LaOs PBE relaxed" e_above_lowest_polymorph_kj_per_mol_atoms=18.4 formation_energy_ev_per_atom=0.34 pbc="T T T"
Os 4.0387 2.0193 5.1312
Os 0.0000 0.0000 0.0000
Li 3.3543 1.0097 2.5656
Li 0.6844 3.0290 2.5656
La 2.0193 2.0193 0.0000
Li 5.0484 5.3736 7.6969
Li 3.0290 2.7037 7.6969
La 2.0193 4.0387 5.1312

=====

9.
4
Lattice="-1.4390 1.8229 1.8333 1.0654 -1.4936 2.3214 6.5789 4.9968 0.1955" Properties=species:S:1:pos:R:3 comment="LiLaOs2 PBE relaxed" e_above_lowest_polymorph_kj_per_mol_atoms=27.8 formation_energy_ev_per_atom=0.29 pbc="T T T"
Li 5.1333 4.2053 2.2354
La 3.2124 2.4399 0.0954
Os 0.0595 0.0452 0.0018
Os 1.0896 1.1341 2.1153

=====

10.
4
Lattice="-8.4763 -3.9584 3.7200 -7.2672 -6.3562 2.8534 -6.6446 -5.3006 5.3951" Properties=species:S:1:pos:R:3 comment="LiLaOs2 PBE relaxed" e_above_lowest_polymorph_kj_per_mol_atoms=64.6 formation_energy_ev_per_atom=0.67 pbc="T T T"
La -5.5970 -3.9038 2.9921
Li -16.7910 -11.7114 8.9764
Os -0.1909 -0.1331 0.1020
Os -11.0032 -7.6745 5.8822

=====

11.
4
Lattice="-0.2396 -2.5974 4.5004 0.4462 -2.6090 -4.4779 3.0989 0.1240 0.2365" Properties=species:S:1:pos:R:3 comment="LiLaOs2 PBE relaxed" e_above_lowest_polymorph_kj_per_mol_atoms=56.3 formation_energy_ev_per_atom=0.59 pbc="T T T"
Os 0.1033 -2.6032 0.0113
La 1.4297 -1.2367 2.3685
Os 0.0000 0.0000 0.0000
Li 1.7725 -1.2425 -2.1207

=====

12.
4
Lattice="-0.6135 -2.0202 -3.7818 2.9967 0.2778 -3.1148 3.0951 -4.7319 -0.4504" Properties=species:S:1:pos:R:3 comment="LiLaOs2 PBE relaxed" e_above_lowest_polymorph_kj_per_mol_atoms=0.0 formation_energy_ev_per_atom=0.00 pbc="T T T"
Os 4.5008 -5.5633 -5.1944
Os 2.9605 -4.4891 -0.5582
La 2.7810 -3.3125 -3.6403
Li 1.0703 -1.0783 -2.0781

=====

| no. | total moment (μB/cell) |
| --- | --- |
| 1 | 0.000 |
| 2 | 0.000 |
| 3 | 1.063 |
| 4 | 0.000 |
| 5 | 0.889 |
| 6 | 0.000 |
| 7 | 0.000 |
| 8 | 0.000 |
| 9 | 0.001 |
| 10 | 0.019 |
| 11 | 0.000 |
| 12 | 0.000 |